# 1
DFT (PBE) results for a geometry-optimized SrTePdN2 structure.

a = 4.6871 Å, b = 4.6871 Å, c = 6.7346 Å
α = 90.00°, β = 90.00°, γ = 90.00°
With the nearest neighbours (Å) after each atom.
Positions (direct):
1 Sr 0.0000 0.0000 0.0000  4 N 2.34
2 Te 0.0000 0.0000 0.5000  4 Pd 3.31, 2 Sr 3.37
3 Pd 0.5000 0.5000 0.5000  4 Te 3.31
4 N 0.0000 0.5000 0.0000  2 Sr 2.34
5 N 0.5000 0.0000 0.0000  2 Sr 2.34

Output
excess energy over the best structure of this formula in the dataset	4.203	eV/f.u.
mass density	3.924	g/cm³
magnetization	4.9	μB per cell



# 2
DFT (PBE) results for a geometry-optimized BeCdGe structure.

a = 3.5425 Å, b = 4.0662 Å, c = 8.3392 Å
α = 93.22°, β = 90.32°, γ = 115.44°
With the nearest neighbours (Å) after each atom.
Positions (direct):
1 Be 0.1352 0.2744 0.0564  1 Be 2.17, 1 Ge 2.30
2 Be 0.8648 0.7256 0.9436  1 Be 2.17, 1 Ge 2.30
3 Cd 0.1438 0.2923 0.3837  1 Be 2.73, 3 Cd 2.96-2.98, 3 Ge 2.98-3.00
4 Cd 0.8562 0.7077 0.6163  1 Be 2.73, 3 Cd 2.96-2.98, 3 Ge 2.98-3.00
5 Ge 0.4401 0.8776 0.1490  5 Be 2.30-2.51
6 Ge 0.5599 0.1224 0.8510  5 Be 2.30-2.51

Output
excess energy over the best structure of this formula in the dataset	0.009	eV/f.u.
mass density	5.954	g/cm³
magnetization	0.0	μB per cell
energy of formation	0.190	eV/atom



# 3
DFT (PBE) results for a geometry-optimized YRhSeN2 structure.

a = 4.3249 Å, b = 4.3249 Å, c = 5.7438 Å
α = 90.00°, β = 90.00°, γ = 90.00°
With the nearest neighbours (Å) after each atom.
Positions (direct):
1 Y 0.0000 0.0000 0.0000  4 N 2.16
2 Rh 0.5000 0.5000 0.5000  4 Se 3.06
3 Se 0.0000 0.0000 0.5000  2 Y 2.87, 4 Rh 3.06
4 N 0.0000 0.5000 0.0000  2 Y 2.16
5 N 0.5000 0.0000 0.0000  2 Y 2.16

Output
excess energy over the best structure of this formula in the dataset	4.834	eV/f.u.
mass density	4.618	g/cm³
magnetization	5.1	μB per cell



# 4
DFT (PBE) results for a geometry-optimized ErLuP2 structure.

a = 6.8243 Å, b = 6.8243 Å, c = 6.8243 Å
α = 33.60°, β = 33.60°, γ = 33.60°
With the nearest neighbours (Å) after each atom.
Positions (direct):
1 Er 0.0000 0.0000 0.0000  6 P 2.80
2 Lu 0.5000 0.5000 0.5000  6 P 2.78
3 P 0.2489 0.2489 0.2489  3 Lu 2.78, 3 Er 2.80
4 P 0.7511 0.7511 0.7511  3 Lu 2.78, 3 Er 2.80

Output
mass density	7.743	g/cm³
magnetization	0.0	μB per cell
energy of formation	-1.600	eV/atom



# 5
DFT (PBE) results for a geometry-optimized La8SmIn2 structure.

a = 9.5691 Å, b = 9.5691 Å, c = 6.3229 Å
α = 102.98°, β = 102.98°, γ = 42.66°
With the nearest neighbours (Å) after each atom.
Positions (direct):
1 La 0.0011 0.0011 0.2379  2 La 3.00-3.32
2 La 0.0610 0.5923 0.3959  2 La 3.26-3.31, 3 In 3.38-3.60, 1 Sm 3.52
3 La 0.3683 0.3683 0.9292  3 In 3.58-3.78, 6 La 3.71-3.94, 2 Sm 3.80-3.99
4 La 0.4077 0.9390 0.6041  2 La 3.26-3.31, 3 In 3.38-3.60, 1 Sm 3.52
5 La 0.5923 0.0610 0.3959  2 La 3.26-3.31, 3 In 3.38-3.60, 1 Sm 3.52
6 La 0.6317 0.6317 0.0708  3 In 3.58-3.78, 6 La 3.71-3.94, 2 Sm 3.80-3.99
7 La 0.9390 0.4077 0.6041  2 La 3.26-3.31, 3 In 3.38-3.60, 1 Sm 3.52
8 La 0.9989 0.9989 0.7621  2 La 3.00-3.32
9 Sm 0.5000 0.5000 0.5000  10 La 3.52-3.86
10 In 0.1793 0.1793 0.1014  11 La 3.38-3.78
11 In 0.8207 0.8207 0.8986  11 La 3.38-3.78

Output
excess energy over the best structure of this formula in the dataset	0.168	eV/f.u.
mass density	6.503	g/cm³
magnetization	0.0	μB per cell
energy of formation	-0.124	eV/atom



# 6
DFT (PBE) results for a geometry-optimized Sm5Hg2 structure.

a = 9.1584 Å, b = 9.1584 Å, c = 6.6937 Å
α = 93.06°, β = 93.06°, γ = 49.75°
With the nearest neighbours (Å) after each atom.
Positions (direct):
1 Sm 0.0188 0.9812 0.7500  4 Hg 3.09-3.29, 2 Sm 3.36
2 Sm 0.1577 0.3053 0.7369  3 Hg 3.09-3.41
3 Sm 0.2774 0.5499 0.4780  1 Hg 3.03
4 Sm 0.3053 0.1577 0.2369  3 Hg 3.09-3.41
5 Sm 0.4501 0.7226 0.0220  1 Hg 3.03
6 Sm 0.5499 0.2774 0.9780  1 Hg 3.03
7 Sm 0.6947 0.8423 0.7631  3 Hg 3.09-3.41
8 Sm 0.7226 0.4501 0.5220  1 Hg 3.03
9 Sm 0.8423 0.6947 0.2631  3 Hg 3.09-3.41
10 Sm 0.9812 0.0188 0.2500  4 Hg 3.09-3.29, 2 Sm 3.36
11 Hg 0.1329 0.6353 0.9787  5 Sm 3.03-3.29
12 Hg 0.3647 0.8671 0.5213  5 Sm 3.03-3.29
13 Hg 0.6353 0.1329 0.4787  5 Sm 3.03-3.29
14 Hg 0.8671 0.3647 0.0213  5 Sm 3.03-3.29

Output
mass density	8.951	g/cm³
magnetization	0.0	μB per cell
energy of formation	-0.232	eV/atom



# 7
DFT (PBE) results for a geometry-optimized CaBe4Pd8 structure.

a = 6.5021 Å, b = 6.5021 Å, c = 6.5021 Å
α = 98.82°, β = 98.82°, γ = 133.90°
With the nearest neighbours (Å) after each atom.
Positions (direct):
1 Ca 0.0000 0.0000 0.0000  12 Pd 2.84-3.17
2 Be 0.0000 0.0000 0.5000  8 Pd 2.48-2.57, 2 Be 2.55
3 Be 0.0000 0.5000 0.0000  8 Pd 2.48-2.57, 2 Be 2.55
4 Be 0.5000 0.0000 0.0000  8 Pd 2.48-2.57, 2 Be 2.55
5 Be 0.5000 0.5000 0.5000  8 Pd 2.48-2.57, 2 Be 2.55
6 Pd 0.0000 0.3351 0.3351  4 Be 2.57, 5 Pd 2.71-2.79, 1 Ca 2.84
7 Pd 0.0000 0.6649 0.6649  4 Be 2.57, 5 Pd 2.71-2.79, 1 Ca 2.84
8 Pd 0.2760 0.5000 0.7760  4 Be 2.48, 6 Pd 2.68-2.72
9 Pd 0.3351 0.0000 0.3351  4 Be 2.57, 5 Pd 2.71-2.79, 1 Ca 2.84
10 Pd 0.5000 0.2760 0.7760  4 Be 2.48, 6 Pd 2.68-2.72
11 Pd 0.5000 0.7240 0.2240  4 Be 2.48, 6 Pd 2.68-2.72
12 Pd 0.6649 0.0000 0.6649  4 Be 2.57, 5 Pd 2.71-2.79, 1 Ca 2.84
13 Pd 0.7240 0.5000 0.2240  4 Be 2.48, 6 Pd 2.68-2.72

Output
mass density	8.450	g/cm³
magnetization	0.0	μB per cell
energy of formation	-0.458	eV/atom



# 8
DFT (PBE) results for a geometry-optimized HoGa5Rh6 structure.

a = 4.3165 Å, b = 6.3749 Å, c = 6.8279 Å
α = 90.00°, β = 108.34°, γ = 90.00°
With the nearest neighbours (Å) after each atom.
Positions (direct):
1 Ho 0.0000 0.0000 0.0000  8 Rh 2.77-2.78, 4 Ga 3.06
2 Ga 0.0000 0.5000 0.0000  8 Rh 2.60-2.72
3 Ga 0.3329 0.0000 0.6655  8 Rh 2.65-2.78
4 Ga 0.3343 0.5000 0.6690  8 Rh 2.59-2.65
5 Ga 0.6657 0.5000 0.3310  8 Rh 2.59-2.65
6 Ga 0.6671 0.0000 0.3345  8 Rh 2.65-2.78
7 Rh 0.1731 0.2589 0.3458  7 Ga 2.60-2.72, 1 Ho 2.78
8 Rh 0.1731 0.7411 0.3458  7 Ga 2.60-2.72, 1 Ho 2.78
9 Rh 0.5000 0.2720 0.0000  6 Ga 2.59-2.78, 2 Ho 2.77
10 Rh 0.5000 0.7280 0.0000  6 Ga 2.59-2.78, 2 Ho 2.77
11 Rh 0.8269 0.2589 0.6542  7 Ga 2.60-2.72, 1 Ho 2.78
12 Rh 0.8269 0.7411 0.6542  7 Ga 2.60-2.72, 1 Ho 2.78

Output
mass density	10.531	g/cm³
magnetization	0.0	μB per cell
energy of formation	-0.745	eV/atom



# 9
DFT (PBE) results for a geometry-optimized LiPr2TmS5 structure.

a = 8.5016 Å, b = 8.5016 Å, c = 11.9184 Å
α = 90.00°, β = 90.00°, γ = 152.84°
With the nearest neighbours (Å) after each atom.
Positions (direct):
1 Li 0.0155 0.9845 0.5000  4 S 2.32-2.55
2 Li 0.9845 0.0155 0.0000  4 S 2.32-2.55
3 Pr 0.3746 0.6254 0.3171  8 S 2.88-3.12
4 Pr 0.3921 0.6079 0.7049  8 S 2.92-3.12
5 Pr 0.6079 0.3921 0.2049  8 S 2.92-3.12
6 Pr 0.6254 0.3746 0.8171  8 S 2.88-3.12
7 Tm 0.3020 0.6980 0.0222  6 S 2.59-2.73
8 Tm 0.6980 0.3020 0.5222  6 S 2.59-2.73
9 S 0.0001 0.9999 0.3026  1 Li 2.37
10 S 0.9999 0.0001 0.8026  1 Li 2.37
11 S 0.1384 0.8616 0.0175  1 Li 2.55, 1 Tm 2.70
12 S 0.1927 0.8073 0.3677  2 Tm 2.72
13 S 0.2139 0.7861 0.6771  2 Tm 2.73, 3 Pr 2.96-2.98
14 S 0.4515 0.5485 0.0871  2 Li 2.32, 1 Tm 2.59
15 S 0.5485 0.4515 0.5871  2 Li 2.32, 1 Tm 2.59
16 S 0.7861 0.2139 0.1771  2 Tm 2.73, 3 Pr 2.96-2.98
17 S 0.8073 0.1927 0.8677  2 Tm 2.72
18 S 0.8616 0.1384 0.5175  1 Li 2.55, 1 Tm 2.70

Output
mass density	5.220	g/cm³
magnetization	0.0	μB per cell
total DFT energy (no corrections)	-107.88	eV per cell



# 10
DFT (PBE) results for a geometry-optimized HoTiFe4 structure.

a = 4.9690 Å, b = 4.9690 Å, c = 4.9690 Å
α = 60.00°, β = 60.00°, γ = 60.00°
With the nearest neighbours (Å) after each atom.
Positions (direct):
1 Ho 0.0000 0.0000 0.0000  12 Fe 2.91, 4 Ti 3.04
2 Ti 0.2500 0.2500 0.2500  12 Fe 2.91, 4 Ho 3.04
3 Fe 0.1264 0.6245 0.6245  6 Fe 2.48-2.49
4 Fe 0.6245 0.1264 0.6245  6 Fe 2.48-2.49
5 Fe 0.6245 0.6245 0.1264  6 Fe 2.48-2.49
6 Fe 0.6245 0.6245 0.6245  6 Fe 2.48-2.49

Output
mass density	8.349	g/cm³
magnetization	6.3	μB per cell
energy of formation	-0.171	eV/atom



# 11
DFT (PBE) results for a geometry-optimized Pm5CoPd structure.

a = 6.8751 Å, b = 6.8751 Å, c = 10.5830 Å
α = 108.57°, β = 108.57°, γ = 62.47°
With the nearest neighbours (Å) after each atom.
Positions (direct):
1 Pm 0.0447 0.3860 0.6446  1 Co 2.71
2 Pm 0.0695 0.9305 0.7500  2 Co 2.69, 1 Pd 2.89
3 Pm 0.2269 0.5607 0.9977  1 Co 2.68, 1 Pd 2.84
4 Pm 0.3860 0.0447 0.1446  1 Co 2.71
5 Pm 0.4393 0.7731 0.5023  1 Co 2.68, 1 Pd 2.84
6 Pm 0.5607 0.2269 0.4977  1 Co 2.68, 1 Pd 2.84
7 Pm 0.6140 0.9553 0.8554  1 Co 2.71
8 Pm 0.7731 0.4393 0.0023  1 Co 2.68, 1 Pd 2.84
9 Pm 0.9305 0.0695 0.2500  2 Co 2.69, 1 Pd 2.89
10 Pm 0.9553 0.6140 0.3554  1 Co 2.71
11 Co 0.0000 0.0000 0.0000  6 Pm 2.68-2.71
12 Co 0.0000 0.0000 0.5000  6 Pm 2.68-2.71
13 Pd 0.4745 0.5255 0.7500  3 Pm 2.84-2.89
14 Pd 0.5255 0.4745 0.2500  3 Pm 2.84-2.89

Output
mass density	7.183	g/cm³
magnetization	0.0	μB per cell
energy of formation	-0.128	eV/atom



# 12
DFT (PBE) results for a geometry-optimized K2ZrRe structure.

a = 10.9514 Å, b = 10.9514 Å, c = 4.3134 Å
α = 101.02°, β = 101.02°, γ = 16.67°
With the nearest neighbours (Å) after each atom.
Positions (direct):
1 K 0.1514 0.1514 0.1453  2 K 3.18
2 K 0.8486 0.8486 0.8547  2 K 3.18
3 Zr 0.0000 0.0000 0.5000  4 Re 2.68
4 Re 0.5000 0.5000 0.0000  4 Zr 2.68

Output
excess energy over the best structure of this formula in the dataset	0.066	eV/f.u.
mass density	4.056	g/cm³
magnetization	0.3	μB per cell
energy of formation	0.663	eV/atom



What is the formula in the second record? BeCdGe



The highest mass density belongs to which entry? HoGa5Rh6